Computed, not measured: a relaxed CoOs2F crystal at the GGA+U level of DFT.

## Properties
Magnetization: 3.795 μB/cell
Polymorph energy (0 for the lowest one): 264 meV/atom

```
8
Lattice="6.595 0.000 0.000 0.000 6.595 0.000 3.298 3.298 2.475" Properties=species:S:1:pos:R:3 pbc="T T T"
Co 0.000 0.000 0.000
Co 6.595 3.298 1.238
Os 4.622 1.649 0.619
Os 1.973 4.946 0.619
Os 4.946 5.271 1.857
Os 8.244 7.919 1.857
F 3.298 3.298 0.000
F 3.298 6.595 1.238
```